## 1
Density functional theory data (PBE) for TaHgAsBr2 after structural relaxation.

POSCAR file:
```
TaHgAsBr2
1.0
-4.584 -2.441 -0.421
2.020 -3.171 -3.607
1.400 -3.257 3.646
As Hg Br Ta
1 1 2 1
direct
0.000 0.000 0.500
0.500 0.500 0.500
0.000 0.500 0.000
0.500 0.000 0.000
0.000 0.000 0.000
```

Output
M_tot	0.00	μB per atom

=====

## 2
Density functional theory data (PBE) for TaHgAsBr2 after structural relaxation.

POSCAR file:
```
TaHgAsBr2
1.0
-4.429 0.999 2.796
-0.267 -5.135 1.412
2.945 1.029 4.298
As Hg Br Ta
1 1 2 1
direct
0.000 0.000 0.500
0.000 0.000 0.000
0.000 0.500 0.000
0.500 0.000 0.000
0.500 0.500 0.500
```

Output
M_tot	0.46	μB per atom

=====

The data favor 1; the next most stable structure lies 129.9 kJ/mol of atoms above it.

=====

## 1
Density functional theory data (PBE) for YHgAsBr2 after structural relaxation.

POSCAR file:
```
YHgAsBr2
1.0
-3.941 1.613 3.634
0.048 -5.097 2.315
4.184 1.748 3.762
Y As Hg Br
1 1 1 2
direct
0.000 0.000 0.000
0.000 0.000 0.500
0.500 0.500 0.500
0.000 0.500 0.000
0.500 0.000 0.000
```

Output
M_tot	0.39	μB per atom

=====

## 2
Density functional theory data (PBE) for YHgAsBr2 after structural relaxation.

POSCAR file:
```
YHgAsBr2
1.0
5.326 0.000 0.000
0.000 5.326 0.000
0.000 0.000 5.419
Y As Hg Br
1 1 1 2
direct
0.500 0.500 0.500
0.000 0.000 0.500
0.000 0.000 0.000
0.000 0.500 0.000
0.500 0.000 0.000
```

Output
M_tot	0.00	μB per atom

=====

The data favor 1; the next most stable structure lies 67.7 kJ/mol of atoms above it.

=====

## 1
Density functional theory data (PBE) for AsIBr2 after structural relaxation.

POSCAR file:
```
AsIBr2
1.0
1.931 0.000 13.827
-0.965 1.672 13.827
-0.965 -1.672 13.827
I As Br
1 1 2
direct
0.500 0.500 0.500
0.000 0.000 0.000
0.938 0.938 0.938
0.062 0.062 0.062
```

Output
M_tot	0.00	μB per atom

=====

## 2
Density functional theory data (PBE) for AsIBr2 after structural relaxation.

POSCAR file:
```
AsIBr2
1.0
-1.531 0.962 5.010
-3.851 3.549 0.973
-4.775 -1.648 1.689
I As Br
1 1 2
direct
0.500 0.500 0.500
0.000 0.000 0.000
0.250 0.250 0.250
0.750 0.750 0.750
```

Output
M_tot	0.00	μB per atom

=====

## 3
Density functional theory data (PBE) for AsIBr2 after structural relaxation.

POSCAR file:
```
AsIBr2
1.0
-4.858 3.758 0.135
0.161 -4.617 -5.588
-2.202 -3.953 1.349
As I Br
1 1 2
direct
0.749 0.243 0.367
0.165 0.233 0.536
0.851 0.536 0.933
0.569 0.951 0.154
```

Output
M_tot	0.00	μB per atom

=====

## 4
Density functional theory data (PBE) for AsIBr2 after structural relaxation.

POSCAR file:
```
AsIBr2
1.0
-2.409 1.363 2.790
4.299 -4.762 3.271
8.147 9.124 2.578
As I Br
2 2 4
direct
0.888 0.776 0.250
0.112 0.224 0.750
0.073 0.145 0.250
0.927 0.855 0.750
0.637 0.274 0.898
0.363 0.726 0.102
0.363 0.726 0.398
0.637 0.274 0.602
```

Output
M_tot	0.00	μB per atom

=====

The data favor 3; the next most stable structure lies 4.5 kJ/mol of atoms above it.

=====

## 1
Density functional theory data (PBE) for AsIBr2 after structural relaxation.

POSCAR file:
```
AsIBr2
1.0
2.336 0.000 10.418
-1.168 2.023 10.418
-1.168 -2.023 10.418
I As Br
1 1 2
direct
0.000 0.000 0.000
0.500 0.500 0.500
0.881 0.881 0.881
0.119 0.119 0.119
```

Output
M_tot	0.00	μB per atom

=====

## 2
Density functional theory data (PBE) for AsIBr2 after structural relaxation.

POSCAR file:
```
AsIBr2
1.0
7.738 0.000 0.000
0.000 7.738 0.000
3.869 3.869 6.009
I As Br
2 2 4
direct
0.000 0.000 0.000
0.750 0.250 0.500
0.500 0.500 0.000
0.250 0.750 0.500
0.478 0.125 0.250
0.272 0.625 0.250
0.375 0.522 0.750
0.875 0.728 0.750
```

Output
M_tot	0.00	μB per atom

=====

The data favor 1; the next most stable structure lies 7.0 kJ/mol of atoms above it.

=====

## 1
Density functional theory data (PBE) for AsIBr3 after structural relaxation.

POSCAR file:
```
AsIBr3
1.0
10.665 -0.319 0.871
-0.365 7.618 -0.239
0.724 -0.177 5.937
As I Br
2 2 6
direct
0.328 0.861 0.605
0.810 0.533 0.099
0.331 0.542 0.761
0.979 0.785 0.211
0.332 0.550 0.257
0.300 0.042 0.956
0.712 0.437 0.467
0.978 0.781 0.707
0.939 0.297 0.968
0.548 0.937 0.476
```

Output
M_tot	0.00	μB per atom

=====

## 2
Density functional theory data (PBE) for AsIBr3 after structural relaxation.

POSCAR file:
```
AsIBr3
1.0
5.792 0.000 0.000
0.000 5.792 0.000
0.000 0.000 5.792
As I Br
1 1 3
direct
0.500 0.500 0.500
0.000 0.000 0.000
0.000 0.500 0.000
0.000 0.000 0.500
0.500 0.000 0.000
```

Output
M_tot	0.44	μB per atom

=====

The data favor 1; the next most stable structure lies 83.9 kJ/mol of atoms above it.

=====

## 1
Density functional theory data (PBE) for AsIBr after structural relaxation.

POSCAR file:
```
AsIBr
1.0
7.469 -0.003 0.029
3.733 5.588 0.394
0.024 2.192 7.467
As I Br
2 2 2
direct
0.845 0.852 0.589
0.601 0.340 0.452
0.082 0.377 0.612
0.364 0.815 0.428
0.585 0.368 0.143
0.860 0.823 0.898
```

Output
M_tot	0.00	μB per atom

=====

## 2
Density functional theory data (PBE) for AsIBr after structural relaxation.

POSCAR file:
```
AsIBr
1.0
5.516 0.000 0.000
0.000 6.855 0.057
-2.758 -1.360 7.285
As Br I
2 2 2
direct
0.749 0.983 0.499
0.251 0.017 0.501
0.600 0.785 0.201
0.400 0.215 0.799
0.854 0.719 0.708
0.146 0.281 0.292
```

Output
M_tot	0.00	μB per atom

=====

The data favor 2; the next most stable structure lies 18.4 kJ/mol of atoms above it.

=====

## 1
Density functional theory data (PBE) for KAsIBr2 after structural relaxation.

POSCAR file:
```
KAsIBr2
1.0
-0.234 5.695 1.137
-5.194 -0.714 2.510
3.942 -1.388 7.763
I As K Br
1 1 1 2
direct
0.500 0.500 0.500
0.000 0.000 0.500
0.000 0.000 0.000
0.000 0.500 0.000
0.500 0.000 0.000
```

Output
M_tot	0.56	μB per atom

=====

## 2
Density functional theory data (PBE) for KAsIBr2 after structural relaxation.

POSCAR file:
```
KAsIBr2
1.0
6.438 0.000 0.000
0.000 6.438 0.000
0.000 0.000 5.211
I As K Br
1 1 1 2
direct
0.000 0.000 0.000
0.000 0.000 0.500
0.500 0.500 0.500
0.000 0.500 0.000
0.500 0.000 0.000
```

Output
M_tot	0.00	μB per atom

=====

## 3
Density functional theory data (PBE) for KAsIBr2 after structural relaxation.

POSCAR file:
```
KAsIBr2
1.0
5.484 0.000 0.000
0.000 5.484 0.000
0.000 0.000 5.821
I As K Br
1 1 1 2
direct
0.000 0.000 0.500
0.000 0.000 0.000
0.500 0.500 0.500
0.000 0.500 0.000
0.500 0.000 0.000
```

Output
M_tot	0.00	μB per atom

=====

The data favor 3; the next most stable structure lies 58.7 kJ/mol of atoms above it.

=====

## 1
Density functional theory data (PBE) for LaAsIBr2 after structural relaxation.

POSCAR file:
```
LaAsIBr2
1.0
5.678 0.000 0.000
0.000 5.678 0.000
0.000 0.000 6.470
I As Br La
1 1 2 1
direct
0.500 0.500 0.500
0.000 0.000 0.500
0.000 0.500 0.000
0.500 0.000 0.000
0.000 0.000 0.000
```

Output
M_tot	0.24	μB per atom

=====

## 2
Density functional theory data (PBE) for LaAsIBr2 after structural relaxation.

POSCAR file:
```
LaAsIBr2
1.0
5.639 0.000 0.000
0.000 5.639 0.000
0.000 0.000 5.618
I As Br La
1 1 2 1
direct
0.000 0.000 0.000
0.000 0.000 0.500
0.000 0.500 0.000
0.500 0.000 0.000
0.500 0.500 0.500
```

Output
M_tot	0.09	μB per atom

=====

The data favor 1; the next most stable structure lies 75.5 kJ/mol of atoms above it.

=====

## 1
Density functional theory data (PBE) for MgAsIBr2 after structural relaxation.

POSCAR file:
```
MgAsIBr2
1.0
-0.532 3.586 -4.419
-4.785 2.120 2.296
3.028 3.848 2.758
I As Mg Br
1 1 1 2
direct
0.000 0.000 0.000
0.000 0.000 0.500
0.500 0.500 0.500
0.000 0.500 0.000
0.500 0.000 0.000
```

Output
M_tot	0.08	μB per atom

=====

## 2
Density functional theory data (PBE) for MgAsIBr2 after structural relaxation.

POSCAR file:
```
MgAsIBr2
1.0
-4.885 -0.504 -0.144
-0.002 -1.332 4.729
-0.921 8.269 2.328
I As Mg Br
1 1 1 2
direct
0.500 0.500 0.500
0.000 0.000 0.500
0.000 0.000 0.000
0.000 0.500 0.000
0.500 0.000 0.000
```

Output
M_tot	0.37	μB per atom

=====

The data favor 2; the next most stable structure lies 64.9 kJ/mol of atoms above it.

=====

## 1
Density functional theory data (PBE) for As2IBrN after structural relaxation.

POSCAR file:
```
As2IBrN
1.0
4.717 0.000 0.000
0.000 4.717 0.000
0.000 0.000 4.543
I As Br N
1 2 1 1
direct
0.500 0.500 0.500
0.000 0.500 0.000
0.500 0.000 0.000
0.000 0.000 0.500
0.000 0.000 0.000
```

Output
M_tot	0.00	μB per atom

=====

## 2
Density functional theory data (PBE) for As2IBrN after structural relaxation.

POSCAR file:
```
As2IBrN
1.0
5.698 0.000 0.000
0.000 5.698 0.000
0.000 0.000 6.018
I As Br N
1 2 1 1
direct
0.000 0.000 0.000
0.000 0.500 0.000
0.500 0.000 0.000
0.000 0.000 0.500
0.500 0.500 0.500
```

Output
M_tot	1.23	μB per atom

=====

The data favor 1; the next most stable structure lies 85.4 kJ/mol of atoms above it.

=====

## 1
Density functional theory data (PBE) for AsI2BrN after structural relaxation.

POSCAR file:
```
AsI2BrN
1.0
-2.034 1.269 -5.906
-5.937 0.731 2.202
0.643 3.574 0.546
I As Br N
2 1 1 1
direct
0.000 0.500 0.000
0.500 0.000 0.000
0.500 0.500 0.500
0.000 0.000 0.000
0.000 0.000 0.500
```

Output
M_tot	0.06	μB per atom

=====

## 2
Density functional theory data (PBE) for AsI2BrN after structural relaxation.

POSCAR file:
```
AsI2BrN
1.0
6.339 0.000 0.000
0.000 6.339 0.000
0.000 0.000 3.576
I As Br N
2 1 1 1
direct
0.000 0.500 0.000
0.500 0.000 0.000
0.000 0.000 0.000
0.500 0.500 0.500
0.000 0.000 0.500
```

Output
M_tot	0.00	μB per atom

=====

The data favor 2; the next most stable structure lies 69.5 kJ/mol of atoms above it.

=====

## 1
Density functional theory data (PBE) for NaAs2IBr after structural relaxation.

POSCAR file:
```
NaAs2IBr
1.0
5.284 0.000 0.000
0.000 5.284 0.000
0.000 0.000 7.781
I Na As Br
1 1 2 1
direct
0.000 0.000 0.000
0.500 0.500 0.500
0.000 0.500 0.000
0.500 0.000 0.000
0.000 0.000 0.500
```

Output
M_tot	0.00	μB per atom

=====

## 2
Density functional theory data (PBE) for NaAs2IBr after structural relaxation.

POSCAR file:
```
NaAs2IBr
1.0
5.429 0.000 0.000
0.000 5.429 0.000
0.000 0.000 5.091
I Na As Br
1 1 2 1
direct
0.500 0.500 0.500
0.000 0.000 0.000
0.000 0.500 0.000
0.500 0.000 0.000
0.000 0.000 0.500
```

Output
M_tot	0.22	μB per atom

=====

The data favor 1; the next most stable structure lies 17.4 kJ/mol of atoms above it.